Entry 1:
Compound: Pm8Dy3Th3
Source: Alexandria via LeMat-Bulk
Functional: GGA-PBE
Structure: optimized geometry

Lattice parameters (Å, degrees): 5.765 9.740 9.740 103.25 72.79 72.79
Element x y z (fractional)
Pm 0.657 0.119 0.566
Pm 0.343 0.881 0.434
Pm 0.657 0.566 0.119
Pm 0.343 0.434 0.881
Pm 0.834 0.769 0.563
Pm 0.166 0.231 0.437
Pm 0.834 0.563 0.769
Pm 0.166 0.437 0.231
Dy 0.500 0.500 0.500
Dy 0.814 0.186 0.186
Dy 0.186 0.814 0.814
Th 0.500 0.000 0.000
Th 0.000 0.817 0.183
Th 0.000 0.183 0.817

## Properties
Energy of formation = 0.162 eV/atom
Space-group type = Immm, No. 71
Energy = -5.129 eV per atom



Entry 2:
Compound: Pm3Dy2Th2
Source: Alexandria via LeMat-Bulk
Functional: GGA-PBE
Structure: optimized geometry

Lattice parameters (Å, degrees): 3.613 11.955 6.198 110.32 73.07 81.29
Element x y z (fractional)
Pm 0.000 0.000 0.000
Pm 0.566 0.577 0.292
Pm 0.434 0.423 0.708
Dy 0.292 0.282 0.134
Dy 0.708 0.718 0.866
Th 0.144 0.140 0.573
Th 0.856 0.860 0.427

## Properties
Energy of formation = 0.037 eV/atom
Space-group type = P-1, No. 2
Energy = -5.434 eV per atom



Entry 3:
Compound: Pm4Dy7Th
Source: Alexandria via LeMat-Bulk
Functional: GGA-PBE
Structure: optimized geometry

Lattice parameters (Å, degrees): 7.146 8.005 8.009 84.13 102.58 63.52
Element x y z (fractional)
Pm 0.494 0.670 0.331
Pm 0.506 0.330 0.669
Pm 0.754 0.834 0.671
Pm 0.246 0.166 0.329
Dy 0.752 0.495 0.000
Dy 0.248 0.505 0.000
Dy 0.001 0.330 0.670
Dy 0.999 0.670 0.330
Dy 0.246 0.836 0.671
Dy 0.500 0.000 0.000
Dy 0.754 0.164 0.329
Th 0.000 0.000 0.000

## Properties
Energy above the lowest structure with this stoichiometry = 0.000 eV per formula unit
Energy of formation = 0.019 eV/atom
Space-group type = P-1, No. 2
Energy = -4.867 eV per atom



Entry 4:
Compound: Pm4Dy3Th2
Source: Alexandria via LeMat-Bulk
Functional: GGA-PBE
Structure: optimized geometry

Lattice parameters (Å, degrees): 3.629 9.638 9.586 115.17 100.91 90.00
Element x y z (fractional)
Pm 0.815 0.675 0.631
Pm 0.185 0.325 0.369
Pm 0.484 0.668 0.967
Pm 0.516 0.332 0.033
Dy 0.849 0.325 0.698
Dy 0.151 0.675 0.302
Dy 0.000 0.000 0.000
Th 0.668 0.999 0.337
Th 0.332 0.001 0.663

## Properties
Energy above the lowest structure with this stoichiometry = 0.000 eV per formula unit
Energy of formation = 0.010 eV/atom
Space-group type = C2/m, No. 12
Energy = -5.284 eV per atom



- What is the energy in the third record?
  -4.867 eV per atom